Record 1
Compound: Zr2TlGaSi
Source: the Alexandria database
Functional: meta-GGA SCAN
Structure: PBEsol geometry

Summary:
- spin magnetization (μB/f.u.) = 0.0
- DFT total energy (eV per atom) = -31.869
- formation energy (no corrections) (eV/atom) = 0.155

Lattice parameters (Å, degrees): 4.982 4.982 4.507 90.00 90.00 90.00
Fractional positions:
Zr 0.000 0.500 0.000
Zr 0.500 0.000 0.000
Tl 0.000 0.000 0.500
Ga 0.500 0.500 0.500
Si 0.500 0.500 0.000

=====

Record 2
Compound: TlFeP2
Source: the Alexandria database
Functional: meta-GGA SCAN
Structure: PBEsol geometry

Summary:
- spin magnetization (μB/f.u.) = 2.8
- formation enthalpy at 0 K (kcal/mol of atoms) = 17.0
- DFT total energy (eV per atom) = -27.085

Lattice parameters (Å, degrees): 4.515 4.515 3.487 90.00 90.00 109.30
Fractional positions:
Tl 0.000 0.000 0.000
Fe 0.500 0.500 0.000
P 0.000 0.500 0.500
P 0.500 0.000 0.500

=====

Record 3
Compound: TcIr2Rh
Source: the Alexandria database
Functional: meta-GGA SCAN
Structure: PBEsol geometry

Summary:
- spin magnetization (μB/f.u.) = 0.0
- formation enthalpy at 0 K (kcal/mol of atoms) = -2.5
- DFT total energy (eV per atom) = -52.865

Lattice parameters (Å, degrees): 2.686 2.686 7.676 90.00 90.00 90.00
Fractional positions:
Tc 0.000 0.000 0.000
Ir 0.000 0.000 0.501
Ir 0.500 0.500 0.248
Rh 0.500 0.500 0.753

=====

Record 4
Compound: Cs2CeCl6
Source: the Alexandria database
Functional: meta-GGA SCAN
Structure: PBEsol geometry

Summary:
- spin magnetization (μB/f.u.) = 0.0
- DFT total energy (eV per atom) = -20.966
- formation energy (no corrections) (eV/atom) = -2.293

Lattice parameters (Å, degrees): 7.425 7.425 5.998 90.00 90.00 120.00
Fractional positions:
Cs 0.333 0.667 0.236
Cs 0.667 0.333 0.764
Ce 0.000 0.000 0.500
Cl 0.169 0.338 0.740
Cl 0.169 0.831 0.740
Cl 0.338 0.169 0.260
Cl 0.662 0.831 0.740
Cl 0.831 0.169 0.260
Cl 0.831 0.662 0.260

=====

Record 5
Compound: CsSi3Os
Source: the Alexandria database
Functional: meta-GGA SCAN
Structure: PBEsol geometry

Summary:
- spin magnetization (μB/f.u.) = 1.6
- DFT total energy (eV per atom) = -27.400
- formation energy (no corrections) (eV/atom) = 0.547

Lattice parameters (Å, degrees): 4.758 4.758 4.758 90.00 90.00 90.00
Fractional positions:
Cs 0.000 0.000 0.000
Si 0.000 0.500 0.500
Si 0.500 0.000 0.500
Si 0.500 0.500 0.000
Os 0.500 0.500 0.500

=====

Record 6
Compound: NaZr3Ir
Source: the Alexandria database
Functional: meta-GGA SCAN
Structure: PBEsol geometry

Summary:
- spin magnetization (μB/f.u.) = 0.0
- formation enthalpy at 0 K (kcal/mol of atoms) = 37.9
- DFT total energy (eV per atom) = -31.837

Lattice parameters (Å, degrees): 4.728 4.728 4.728 90.00 90.00 90.00
Fractional positions:
Na 0.000 0.000 0.000
Zr 0.000 0.000 0.500
Zr 0.000 0.500 0.000
Zr 0.500 0.000 0.000
Ir 0.500 0.500 0.500

=====

Record 7
Compound: InPRh3
Source: the Alexandria database
Functional: meta-GGA SCAN
Structure: PBEsol geometry

Summary:
- spin magnetization (μB/f.u.) = 0.0
- formation enthalpy at 0 K (kcal/mol of atoms) = -5.7
- DFT total energy (eV per atom) = -29.265

Lattice parameters (Å, degrees): 4.336 4.336 4.336 90.00 90.00 90.00
Fractional positions:
In 0.000 0.000 0.000
P 0.500 0.500 0.500
Rh 0.000 0.500 0.500
Rh 0.500 0.000 0.500
Rh 0.500 0.500 0.000

=====

Record 8
Compound: SiSb2Rh
Source: the Alexandria database
Functional: meta-GGA SCAN
Structure: PBEsol geometry

Summary:
- spin magnetization (μB/f.u.) = 0.0
- DFT total energy (eV per atom) = -29.676
- formation energy (no corrections) (eV/atom) = -0.099

Lattice parameters (Å, degrees): 3.221 3.221 7.594 90.00 90.00 90.00
Fractional positions:
Si 0.000 0.000 0.000
Sb 0.000 0.000 0.380
Sb 0.500 0.500 0.762
Rh 0.500 0.500 0.137

=====

Record 9
Compound: CaBeZn2
Source: the Alexandria database
Functional: meta-GGA SCAN
Structure: PBEsol geometry

Summary:
- spin magnetization (μB/f.u.) = 0.0
- formation enthalpy at 0 K (kcal/mol of atoms) = 1.9
- DFT total energy (eV per atom) = -10.178

Lattice parameters (Å, degrees): 4.498 4.498 4.498 60.00 60.00 60.00
Fractional positions:
Ca 0.000 0.000 0.000
Be 0.250 0.250 0.250
Zn 0.500 0.500 0.500
Zn 0.750 0.750 0.750

=====

Record 10
Compound: SrSnOs3
Source: the Alexandria database
Functional: meta-GGA SCAN
Structure: PBEsol geometry

Summary:
- spin magnetization (μB/f.u.) = 3.8
- formation enthalpy at 0 K (kcal/mol of atoms) = 84.1
- DFT total energy (eV per atom) = -51.121

Lattice parameters (Å, degrees): 4.812 4.812 4.812 90.00 90.00 90.00
Fractional positions:
Sr 0.000 0.000 0.000
Sn 0.500 0.500 0.500
Os 0.000 0.000 0.500
Os 0.000 0.500 0.000
Os 0.500 0.000 0.000

=====

Record 11
Compound: CoCuRh2
Source: the Alexandria database
Functional: meta-GGA SCAN
Structure: PBEsol geometry

Summary:
- spin magnetization (μB/f.u.) = 3.2
- formation enthalpy at 0 K (kcal/mol of atoms) = 3.1
- DFT total energy (eV per atom) = -24.877

Lattice parameters (Å, degrees): 2.581 2.581 8.611 90.00 90.00 117.73
Fractional positions:
Co 0.000 0.000 0.000
Cu 0.000 0.000 0.500
Rh 0.500 0.500 0.246
Rh 0.500 0.500 0.754

=====

Record 12
Compound: TaNiOs2
Source: the Alexandria database
Functional: meta-GGA SCAN
Structure: PBEsol geometry

Summary:
- spin magnetization (μB/f.u.) = 0.0
- formation enthalpy at 0 K (kcal/mol of atoms) = -4.3
- DFT total energy (eV per atom) = -56.817

Lattice parameters (Å, degrees): 4.692 4.692 4.692 132.06 132.06 70.13
Fractional positions:
Ta 0.000 0.000 0.000
Ni 0.750 0.250 0.500
Os 0.250 0.750 0.500
Os 0.500 0.500 0.000

=====

Record 13
Compound: Mg2TaAg
Source: the Alexandria database
Functional: meta-GGA SCAN
Structure: PBEsol geometry

Summary:
- spin magnetization (μB/f.u.) = 0.0
- formation enthalpy at 0 K (kcal/mol of atoms) = 6.6
- DFT total energy (eV per atom) = -26.690

Lattice parameters (Å, degrees): 5.468 5.468 5.189 108.35 108.35 29.98
Fractional positions:
Mg 0.234 0.234 0.244
Mg 0.766 0.766 0.756
Ta 0.000 0.000 0.500
Ag 0.500 0.500 0.000

=====

Record 14
Compound: AlTlGa2W
Source: the Alexandria database
Functional: meta-GGA SCAN
Structure: PBEsol geometry

Summary:
- spin magnetization (μB/f.u.) = 0.0
- formation enthalpy at 0 K (kcal/mol of atoms) = 18.5
- DFT total energy (eV per atom) = -35.695

Lattice parameters (Å, degrees): 4.903 4.903 5.284 90.00 90.00 90.00
Fractional positions:
Al 0.000 0.000 0.000
Tl 0.500 0.500 0.000
Ga 0.000 0.500 0.500
Ga 0.500 0.000 0.500
W 0.500 0.500 0.500

=====

Record 15
Compound: Cs2BeSe2
Source: the Alexandria database
Functional: meta-GGA SCAN
Structure: PBEsol geometry

Summary:
- spin magnetization (μB/f.u.) = 0.0
- DFT total energy (eV per atom) = -25.119
- formation energy (no corrections) (eV/atom) = -1.093

Lattice parameters (Å, degrees): 7.709 7.709 7.709 127.19 127.19 77.95
Fractional positions:
Cs 0.250 0.750 0.500
Cs 0.750 0.250 0.500
Be 0.000 0.000 0.000
Se 0.167 0.167 0.000
Se 0.833 0.833 0.000

=====

Record 16
Compound: NbHSN2
Source: the Alexandria database
Functional: meta-GGA SCAN
Structure: PBEsol geometry

Summary:
- spin magnetization (μB/f.u.) = 0.0
- DFT total energy (eV per atom) = -11.797

Lattice parameters (Å, degrees): 3.861 3.861 2.931 90.00 90.00 90.00
Fractional positions:
Nb 0.000 0.000 0.000
H 0.500 0.500 0.500
S 0.500 0.500 0.000
N 0.000 0.500 0.500
N 0.500 0.000 0.500

=====

Record 17
Compound: Mo3Ru5
Source: the Alexandria database
Functional: meta-GGA SCAN
Structure: PBEsol geometry

Summary:
- spin magnetization (μB/f.u.) = 0.0
- formation enthalpy at 0 K (kcal/mol of atoms) = 1.4
- DFT total energy (eV per atom) = -34.789

Lattice parameters (Å, degrees): 5.422 5.422 3.826 90.00 90.00 90.47
Fractional positions:
Mo 0.000 0.000 0.000
Mo 0.257 0.743 0.500
Mo 0.743 0.257 0.500
Ru 0.000 0.500 0.000
Ru 0.252 0.252 0.500
Ru 0.500 0.000 0.000
Ru 0.500 0.500 0.000
Ru 0.748 0.748 0.500

=====

Record 18
Compound: ScGaP2Cl
Source: the Alexandria database
Functional: meta-GGA SCAN
Structure: PBEsol geometry

Summary:
- spin magnetization (μB/f.u.) = 0.0
- DFT total energy (eV per atom) = -11.897
- formation energy (no corrections) (eV/atom) = -0.025

Lattice parameters (Å, degrees): 4.615 4.615 4.758 90.00 90.00 90.00
Fractional positions:
Sc 0.000 0.000 0.000
Ga 0.500 0.500 0.500
P 0.000 0.500 0.500
P 0.500 0.000 0.500
Cl 0.500 0.500 0.000

=====

Record 19
Compound: Zr2MoAu
Source: the Alexandria database
Functional: meta-GGA SCAN
Structure: PBEsol geometry

Summary:
- spin magnetization (μB/f.u.) = 0.0
- formation enthalpy at 0 K (kcal/mol of atoms) = -9.4
- DFT total energy (eV per atom) = -41.766

Lattice parameters (Å, degrees): 4.710 4.710 4.710 60.00 60.00 60.00
Fractional positions:
Zr 0.250 0.250 0.250
Zr 0.750 0.750 0.750
Mo 0.000 0.000 0.000
Au 0.500 0.500 0.500

=====

Record 20
Compound: BaCuP
Source: the Alexandria database
Functional: meta-GGA SCAN
Structure: PBEsol geometry

Summary:
- spin magnetization (μB/f.u.) = 0.0
- formation enthalpy at 0 K (kcal/mol of atoms) = -19.0
- DFT total energy (eV per atom) = -22.540

Lattice parameters (Å, degrees): 4.125 4.125 4.580 90.00 90.00 120.00
Fractional positions:
Ba 0.000 0.000 0.000
Cu 0.333 0.667 0.500
P 0.667 0.333 0.500